No. 1
First-principles (PBE) data for a geometry-optimized Pr2TiAs3Ir4 structure, as listed in Alexandria via LeMat-Bulk.

Values from the calculation:
Fermi-level density of states: 6.40 states/eV/cell
Total moment: 0.00 μB per formula unit
Calculated total energy: -7.486 eV per atom
V: 187.6 Å³/cell
E_form: -0.80 eV/atom

abc: 4.1700 4.1700 10.7885
angles: 90.00 90.00 90.00
Space group P-4m2 (No. 115)
One atom of each set of equivalent atoms:
Pr  0.0000  0.5000  0.2398 [2 per cell]
Ti  0.0000  0.0000  0.5000 [1 per cell]
As  0.0000  0.5000  0.8638 [2 per cell]
As  0.5000  0.5000  0.5000 [1 per cell]
Ir  0.0000  0.0000  0.0000 [1 per cell]
Ir  0.0000  0.5000  0.6355 [2 per cell]
Ir  0.5000  0.5000  0.0000 [1 per cell]

No. 2
First-principles (PBE) data for a geometry-optimized Cd3Pd7Au2 structure, as listed in Alexandria via LeMat-Bulk.

Values from the calculation:
Fermi-level density of states: 8.06 states/eV/cell
Total moment: 0.00 μB per formula unit
Calculated total energy: -3.923 eV per atom
V: 215.0 Å³/cell
Offset from the most stable computed form: 33 meV/atom
E_form: -0.12 eV/atom

abc: 4.6551 2.8835 16.1686
angles: 90.00 97.84 90.00
Space group P2/m (No. 10)
One atom of each set of equivalent atoms:
Cd  0.0000  0.0000  0.0000 [1 per cell]
Cd  0.3138  0.5000  0.6156 [2 per cell]
Pd  0.2226  0.5000  0.1476 [2 per cell]
Pd  0.2290  0.0000  0.4560 [2 per cell]
Pd  0.2871  0.0000  0.8535 [2 per cell]
Pd  0.5000  0.5000  0.0000 [1 per cell]
Au  0.1165  0.0000  0.2885 [2 per cell]

Which of these has the highest calculated total energy?
Cd3Pd7Au2

Look up the calculated total energy of the first one.
-7.486 eV per atom